Entry 1:
Material: CoTc2As
Method: DFT, GGA-PBE
State: relaxed

POSCAR file:
```
CoTc2As
1.0
8.296 0.007 0.004
7.816 2.783 0.004
7.816 1.353 2.432
Tc As Co
2 1 1
direct
0.500 0.500 0.500
0.000 0.000 0.000
0.250 0.250 0.250
0.750 0.750 0.750
```

Output
total magnetic moment = 1.05 μB per cell
ΔH_f (0 K) = 0.23 eV per atom
symmetry = R-3m

***

Entry 2:
Material: CoTc2As
Method: DFT, GGA-PBE
State: relaxed

POSCAR file:
```
CoTc2As
1.0
4.294 0.000 0.000
2.147 3.718 0.000
2.147 1.239 3.506
Tc As Co
2 1 1
direct
0.750 0.750 0.750
0.000 0.000 0.000
0.500 0.500 0.500
0.250 0.250 0.250
```

Output
total magnetic moment = 2.58 μB per cell
ΔH_f (0 K) = 0.23 eV per atom
symmetry = F-43m

***

Entry 3:
Material: Co2TeAs
Method: DFT, GGA-PBE
State: relaxed

POSCAR file:
```
Co2TeAs
1.0
3.265 0.000 0.000
0.000 5.492 0.005
0.000 3.688 3.527
Co As Te
2 1 1
direct
0.000 0.000 0.000
0.500 0.500 0.000
0.000 0.000 0.500
0.500 0.500 0.500
```

Output
total magnetic moment = 1.40 μB per cell
formation energy (no corrections) = 0.2356 eV per atom
symmetry = P2/m

***

Entry 4:
Material: Co2TeAs
Method: DFT, GGA-PBE
State: relaxed

POSCAR file:
```
Co2TeAs
1.0
6.326 -0.013 -0.008
5.191 3.617 -0.008
5.191 1.624 3.231
Co As Te
2 1 1
direct
0.278 0.278 0.278
0.985 0.985 0.985
0.704 0.704 0.704
0.533 0.533 0.533
```

Output
total magnetic moment = 1.76 μB per cell
formation energy (no corrections) = 0.0681 eV per atom
symmetry = R3m

***

Entry 5:
Material: Co2TeAs2
Method: DFT, GGA-PBE
State: relaxed

POSCAR file:
```
Co2TeAs2
1.0
-1.934 -3.348 0.058
0.847 -0.554 -3.732
4.132 -4.627 -0.379
As Co Te
2 2 1
direct
0.750 0.250 0.500
0.250 0.750 0.500
0.380 0.380 0.239
0.620 0.620 0.761
0.000 0.000 0.000
```

Output
total magnetic moment = 0.86 μB per cell
formation energy (no corrections) = 0.1467 eV per atom
symmetry = I4/mmm

***

Entry 6:
Material: Co2TeAs
Method: DFT, GGA-PBE
State: relaxed

POSCAR file:
```
Co2TeAs
1.0
-3.400 1.045 -0.992
-2.846 -2.317 0.410
-2.938 1.545 4.865
As Co Te
1 2 1
direct
0.750 0.750 0.750
0.029 0.029 0.914
0.471 0.471 0.586
0.250 0.250 0.250
```

Output
total magnetic moment = 0.00 μB per cell
formation energy (no corrections) = 0.0166 eV per atom
symmetry = C2/m